No. 1
Entry from Alexandria: a relaxed Tb12Nd5Er crystal (PBE).

The structure in CIF format:
```
data_Tb12Nd5Er
_chemical_formula_sum 'Tb12 Nd5 Er1'
_cell_length_a 10.477
_cell_length_b 10.477
_cell_length_c 5.768
_cell_angle_alpha 90.00
_cell_angle_beta 90.00
_cell_angle_gamma 111.25
_symmetry_space_group_name_H-M 'P 1'
_symmetry_Int_Tables_number 1
_symmetry_space_group_name_Hall 'P 1'
loop_
_atom_site_label
_atom_site_fract_x
_atom_site_fract_y
_atom_site_fract_z
Tb1 0.027 0.667 0.000
Tb2 0.167 0.524 0.501
Tb3 0.203 0.203 0.497
Tb4 0.301 0.301 0.997
Tb5 0.333 0.973 0.000
Tb6 0.476 0.833 0.499
Tb7 0.524 0.167 0.501
Tb8 0.667 0.027 0.000
Tb9 0.699 0.699 0.003
Tb10 0.797 0.797 0.503
Tb11 0.833 0.476 0.499
Tb12 0.973 0.333 0.000
Nd1 0.000 0.000 0.000
Nd2 0.138 0.862 0.500
Nd3 0.364 0.636 0.000
Nd4 0.636 0.364 0.000
Nd5 0.862 0.138 0.500
Er1 0.500 0.500 0.500
```

Calculated values
The calculation puts the formation energy at 0.086 eV/atom.

=====

No. 2
Entry from Alexandria: a relaxed Tb7Nd2Er crystal (PBE).

The structure in CIF format:
```
data_Tb7Nd2Er
_chemical_formula_sum 'Tb7 Nd2 Er1'
_cell_length_a 8.764
_cell_length_b 8.764
_cell_length_c 7.066
_cell_angle_alpha 101.69
_cell_angle_beta 101.69
_cell_angle_gamma 37.70
_symmetry_space_group_name_H-M 'P 1'
_symmetry_Int_Tables_number 1
_symmetry_space_group_name_Hall 'P 1'
loop_
_atom_site_label
_atom_site_fract_x
_atom_site_fract_y
_atom_site_fract_z
Tb1 0.000 0.000 0.000
Tb2 0.210 0.210 0.856
Tb3 0.401 0.401 0.701
Tb4 0.403 0.403 0.201
Tb5 0.597 0.597 0.799
Tb6 0.599 0.599 0.299
Tb7 0.790 0.790 0.144
Nd1 0.211 0.211 0.354
Nd2 0.789 0.789 0.646
Er1 0.000 0.000 0.500
```

Calculated values
As for the energy above the most stable polymorph in this dataset: 0.0 meV per atom. The calculation puts the formation energy at 0.053 eV/atom.

=====

No. 3
Entry from Alexandria: a relaxed TbNd2Er9 crystal (PBE).

The structure in CIF format:
```
data_TbNd2Er9
_chemical_formula_sum 'Tb1 Nd2 Er9'
_cell_length_a 11.199
_cell_length_b 11.199
_cell_length_c 3.487
_cell_angle_alpha 90.00
_cell_angle_beta 90.00
_cell_angle_gamma 120.00
_symmetry_space_group_name_H-M 'P 1'
_symmetry_Int_Tables_number 1
_symmetry_space_group_name_Hall 'P 1'
loop_
_atom_site_label
_atom_site_fract_x
_atom_site_fract_y
_atom_site_fract_z
Tb1 0.000 0.000 0.000
Nd1 0.333 0.667 0.000
Nd2 0.667 0.333 0.000
Er1 0.000 0.500 0.000
Er2 0.174 0.349 0.500
Er3 0.174 0.826 0.500
Er4 0.349 0.174 0.500
Er5 0.500 0.000 0.000
Er6 0.500 0.500 0.000
Er7 0.651 0.826 0.500
Er8 0.826 0.174 0.500
Er9 0.826 0.651 0.500
```

Calculated values
As for the energy above the most stable polymorph in this dataset: 46.3 meV per atom. The calculation puts the formation energy at 0.071 eV/atom.

=====

No. 4
Entry from Alexandria: a relaxed Tb4Nd2Er5 crystal (PBE).

The structure in CIF format:
```
data_Tb4Nd2Er5
_chemical_formula_sum 'Tb4 Nd2 Er5'
_cell_length_a 12.542
_cell_length_b 12.542
_cell_length_c 12.542
_cell_angle_alpha 163.99
_cell_angle_beta 137.78
_cell_angle_gamma 45.43
_symmetry_space_group_name_H-M 'P 1'
_symmetry_Int_Tables_number 1
_symmetry_space_group_name_Hall 'P 1'
loop_
_atom_site_label
_atom_site_fract_x
_atom_site_fract_y
_atom_site_fract_z
Tb1 0.097 0.097 0.000
Tb2 0.194 0.500 0.694
Tb3 0.806 0.500 0.306
Tb4 0.903 0.903 0.000
Nd1 0.232 0.232 0.000
Nd2 0.768 0.768 0.000
Er1 0.165 0.359 0.806
Er2 0.448 0.641 0.806
Er3 0.500 0.000 0.500
Er4 0.552 0.359 0.194
Er5 0.835 0.641 0.194
```

Calculated values
As for the energy above the most stable polymorph in this dataset: 204.2 meV per atom. The calculation puts the formation energy at 0.224 eV/atom.

=====

No. 5
Entry from Alexandria: a relaxed Tb6Nd4Er crystal (PBE).

The structure in CIF format:
```
data_Tb6Nd4Er
_chemical_formula_sum 'Tb6 Nd4 Er1'
_cell_length_a 9.738
_cell_length_b 9.738
_cell_length_c 9.738
_cell_angle_alpha 139.91
_cell_angle_beta 139.91
_cell_angle_gamma 57.99
_symmetry_space_group_name_H-M 'P 1'
_symmetry_Int_Tables_number 1
_symmetry_space_group_name_Hall 'P 1'
loop_
_atom_site_label
_atom_site_fract_x
_atom_site_fract_y
_atom_site_fract_z
Tb1 0.000 0.500 0.500
Tb2 0.199 0.199 0.646
Tb3 0.447 0.801 0.000
Tb4 0.500 0.000 0.500
Tb5 0.553 0.553 0.354
Tb6 0.801 0.447 0.000
Nd1 0.014 0.634 0.000
Nd2 0.366 0.366 0.379
Nd3 0.634 0.014 0.000
Nd4 0.986 0.986 0.621
Er1 0.000 0.000 0.000
```

Calculated values
As for the energy above the most stable polymorph in this dataset: 132.6 meV per atom. The calculation puts the formation energy at 0.292 eV/atom.

=====

No. 6
Entry from Alexandria: a relaxed TbNd3Er7 crystal (PBE).

The structure in CIF format:
```
data_TbNd3Er7
_chemical_formula_sum 'Tb1 Nd3 Er7'
_cell_length_a 8.413
_cell_length_b 8.413
_cell_length_c 8.413
_cell_angle_alpha 139.55
_cell_angle_beta 97.02
_cell_angle_gamma 96.71
_symmetry_space_group_name_H-M 'P 1'
_symmetry_Int_Tables_number 1
_symmetry_space_group_name_Hall 'P 1'
loop_
_atom_site_label
_atom_site_fract_x
_atom_site_fract_y
_atom_site_fract_z
Tb1 0.000 0.000 0.000
Nd1 0.287 0.787 0.500
Nd2 0.500 0.500 0.000
Nd3 0.713 0.213 0.500
Er1 0.000 0.500 0.500
Er2 0.096 0.305 0.791
Er3 0.294 0.000 0.294
Er4 0.487 0.695 0.791
Er5 0.513 0.305 0.209
Er6 0.706 0.000 0.706
Er7 0.904 0.695 0.209
```

Calculated values
The calculation puts the formation energy at 0.275 eV/atom.

=====

No. 7
Entry from Alexandria: a relaxed Tb7Nd12Er crystal (PBE).

The structure in CIF format:
```
data_Tb7Nd12Er
_chemical_formula_sum 'Tb7 Nd12 Er1'
_cell_length_a 8.871
_cell_length_b 8.871
_cell_length_c 8.871
_cell_angle_alpha 93.89
_cell_angle_beta 93.89
_cell_angle_gamma 93.89
_symmetry_space_group_name_H-M 'P 1'
_symmetry_Int_Tables_number 1
_symmetry_space_group_name_Hall 'P 1'
loop_
_atom_site_label
_atom_site_fract_x
_atom_site_fract_y
_atom_site_fract_z
Tb1 0.000 0.000 0.000
Tb2 0.155 0.485 0.419
Tb3 0.419 0.155 0.485
Tb4 0.485 0.419 0.155
Tb5 0.515 0.581 0.845
Tb6 0.581 0.845 0.515
Tb7 0.845 0.515 0.581
Nd1 0.026 0.356 0.093
Nd2 0.093 0.026 0.356
Nd3 0.180 0.315 0.749
Nd4 0.251 0.820 0.685
Nd5 0.315 0.749 0.180
Nd6 0.356 0.093 0.026
Nd7 0.644 0.907 0.974
Nd8 0.685 0.251 0.820
Nd9 0.749 0.180 0.315
Nd10 0.820 0.685 0.251
Nd11 0.907 0.974 0.644
Nd12 0.974 0.644 0.907
Er1 0.500 0.500 0.500
```

Calculated values
As for the energy above the most stable polymorph in this dataset: 37.4 meV per atom. The calculation puts the formation energy at 0.264 eV/atom.

=====

No. 8
Entry from Alexandria: a relaxed TbNd3Er6 crystal (PBE).

The structure in CIF format:
```
data_TbNd3Er6
_chemical_formula_sum 'Tb2 Nd6 Er12'
_cell_length_a 10.911
_cell_length_b 10.911
_cell_length_c 6.291
_cell_angle_alpha 90.00
_cell_angle_beta 90.00
_cell_angle_gamma 119.58
_symmetry_space_group_name_H-M 'P 1'
_symmetry_Int_Tables_number 1
_symmetry_space_group_name_Hall 'P 1'
loop_
_atom_site_label
_atom_site_fract_x
_atom_site_fract_y
_atom_site_fract_z
Tb1 0.199 0.801 0.500
Tb2 0.801 0.199 0.000
Nd1 0.062 0.287 0.327
Nd2 0.287 0.062 0.827
Nd3 0.389 0.611 0.433
Nd4 0.611 0.389 0.933
Nd5 0.713 0.938 0.327
Nd6 0.938 0.713 0.827
Er1 0.041 0.959 0.248
Er2 0.047 0.467 0.736
Er3 0.275 0.725 0.010
Er4 0.288 0.381 0.908
Er5 0.381 0.288 0.408
Er6 0.467 0.047 0.236
Er7 0.533 0.953 0.736
Er8 0.619 0.712 0.908
Er9 0.712 0.619 0.408
Er10 0.725 0.275 0.510
Er11 0.953 0.533 0.236
Er12 0.959 0.041 0.748
```

Calculated values
As for the energy above the most stable polymorph in this dataset: 0.0 meV per atom. The calculation puts the formation energy at 0.150 eV/atom.

=====

No. 9
Entry from Alexandria: a relaxed Tb6Nd2Er5 crystal (PBE).

The structure in CIF format:
```
data_Tb6Nd2Er5
_chemical_formula_sum 'Tb12 Nd4 Er10'
_cell_length_a 11.690
_cell_length_b 20.158
_cell_length_c 3.587
_cell_angle_alpha 90.00
_cell_angle_beta 90.00
_cell_angle_gamma 90.00
_symmetry_space_group_name_H-M 'P 1'
_symmetry_Int_Tables_number 1
_symmetry_space_group_name_Hall 'P 1'
loop_
_atom_site_label
_atom_site_fract_x
_atom_site_fract_y
_atom_site_fract_z
Tb1 0.059 0.078 0.000
Tb2 0.080 0.366 0.000
Tb3 0.177 0.627 0.500
Tb4 0.323 0.127 0.500
Tb5 0.420 0.866 0.000
Tb6 0.441 0.578 0.000
Tb7 0.559 0.422 0.000
Tb8 0.580 0.134 0.000
Tb9 0.677 0.873 0.500
Tb10 0.823 0.373 0.500
Tb11 0.920 0.634 0.000
Tb12 0.941 0.922 0.000
Nd1 0.166 0.785 0.000
Nd2 0.334 0.285 0.000
Nd3 0.666 0.715 0.000
Nd4 0.834 0.215 0.000
Er1 0.000 0.500 0.500
Er2 0.094 0.222 0.500
Er3 0.200 0.948 0.500
Er4 0.300 0.448 0.500
Er5 0.406 0.722 0.500
Er6 0.500 0.000 0.500
Er7 0.594 0.278 0.500
Er8 0.700 0.552 0.500
Er9 0.800 0.052 0.500
Er10 0.906 0.778 0.500
```

Calculated values
The calculation puts the formation energy at 0.100 eV/atom.